# 1
Material: Sr2Sb2Pt
Method: DFT, PBE
State: relaxed

Output
Crystal system: monoclinic
Excess energy over the best structure of this formula in the dataset (meV per atom): 0
Density of states at the Fermi level (states/eV/cell): 3.99
Space-group type: C2/m, No. 12
Electronic total energy (eV/atom): -4.45

Unit cell a=4.6907 b=6.3933 c=11.0889 alpha=82.14 beta=77.79 gamma=68.48
Closest atoms and distances in Å follow each position.
Sites, in units of the cell vectors:
Sr (0.9108, 0.2820, 0.8964)  6 Sb 3.27-3.46, 2 Pt 3.32
Sr (0.0892, 0.7180, 0.1036)  6 Sb 3.27-3.46, 2 Pt 3.32
Sr (0.6992, 0.2435, 0.3581)  7 Sb 3.33-3.58, 4 Pt 3.41-3.59
Sr (0.3008, 0.7565, 0.6419)  7 Sb 3.33-3.58, 4 Pt 3.41-3.59
Sb (0.3691, 0.1388, 0.1230)  1 Pt 2.70
Sb (0.6309, 0.8612, 0.8770)  1 Pt 2.70
Sb (0.0449, 0.3158, 0.5945)  2 Pt 2.66, 1 Sb 2.90
Sb (0.9551, 0.6842, 0.4055)  2 Pt 2.66, 1 Sb 2.90
Pt (0.5633, 0.1835, 0.6898)  3 Sb 2.66-2.70
Pt (0.4367, 0.8165, 0.3102)  3 Sb 2.66-2.70

***

# 2
Material: NaBeSe2O8
Method: DFT, PBE
State: relaxed

Output
Crystal system: monoclinic
Density of states at the Fermi level (states/eV/cell): 6.75
Space-group type: C2/m, No. 12
Electronic total energy (eV/atom): -5.24

Unit cell a=4.8498 b=4.8498 c=7.1701 alpha=88.84 beta=88.84 gamma=65.74
Closest atoms and distances in Å follow each position.
Sites, in units of the cell vectors:
O (0.2237, 0.7379, 0.8088)  1 Se 1.69, 1 Be 1.88
O (0.7379, 0.2237, 0.8088)  1 Se 1.69, 1 Be 1.88
O (0.2621, 0.7763, 0.1912)  1 Se 1.69, 1 Be 1.88
O (0.7763, 0.2621, 0.1912)  1 Se 1.69, 1 Be 1.88
O (0.7804, 0.7804, 0.0317)  1 Se 1.68, 1 Be 1.80
O (0.7151, 0.7150, 0.4223)  1 Se 1.65
O (0.2849, 0.2850, 0.5777)  1 Se 1.65
O (0.2196, 0.2196, 0.9683)  1 Se 1.68, 1 Be 1.80
Se (0.6422, 0.6422, 0.2091)  4 O 1.65-1.69
Se (0.3578, 0.3578, 0.7909)  4 O 1.65-1.69
Be (0.0000, 0.0000, 0.0000)  6 O 1.80-1.88
Na (0.0000, 0.0000, 0.5000)  6 O 2.40-2.56

***

# 3
Material: CaEuDyCd
Method: DFT, PBE
State: relaxed

Output
Crystal system: cubic
ΔE_f (kJ/mol of formula units): -2.8
Density of states at the Fermi level (states/eV/cell): 4.42
Space-group type: F-43m, No. 216
Electronic total energy (eV/atom): -4.46

Unit cell a=5.6434 b=5.6434 c=5.6434 alpha=60.00 beta=60.00 gamma=60.00
Closest atoms and distances in Å follow each position.
Sites, in units of the cell vectors:
Dy (0.0000, 0.0000, 0.0000)  4 Cd 3.46, 4 Ca 3.46
Eu (0.5000, 0.5000, 0.5000)  4 Ca 3.46, 4 Cd 3.46
Cd (0.7500, 0.7500, 0.7500)  4 Dy 3.46, 4 Eu 3.46
Ca (0.2500, 0.2500, 0.2500)  4 Eu 3.46, 4 Dy 3.46

***

# 4
Material: Tl3PI
Method: DFT, PBE
State: relaxed

Output
Crystal system: cubic
Excess energy over the best structure of this formula in the dataset (meV per atom): 613
Density of states at the Fermi level (states/eV/cell): 5.27
Space-group type: Pm-3m, No. 221
Electronic total energy (eV/atom): -2.17

Unit cell a=6.3690 b=6.3690 c=6.3690 alpha=90.00 beta=90.00 gamma=90.00
Closest atoms and distances in Å follow each position.
Sites, in units of the cell vectors:
Tl (0.0000, 0.5000, 0.0000)  2 I 3.18
Tl (0.5000, 0.0000, 0.0000)  2 I 3.18
Tl (0.0000, 0.0000, 0.5000)  2 I 3.18
P (0.5000, 0.5000, 0.5000)  12 Tl 4.50
I (0.0000, 0.0000, 0.0000)  6 Tl 3.18

***

# 5
Material: HgPb2Br
Method: DFT, PBE
State: relaxed

Output
Crystal system: tetragonal
Excess energy over the best structure of this formula in the dataset (meV per atom): 68
Density of states at the Fermi level (states/eV/cell): 2.61
Space-group type: P4mm, No. 99
Electronic total energy (eV/atom): -2.48

Unit cell a=3.7046 b=3.7046 c=8.9627 alpha=90.00 beta=90.00 gamma=90.00
Closest atoms and distances in Å follow each position.
Sites, in units of the cell vectors:
Hg (0.5000, 0.5000, 0.7543)  4 Pb 3.44, 4 Br 3.57, 4 Hg 3.70
Pb (0.5000, 0.5000, 0.2599)  4 Br 3.30, 4 Pb 3.49
Pb (0.0000, 0.0000, 0.0028)  4 Hg 3.44, 8 Pb 3.49-3.70
Br (0.0000, 0.0000, 0.4830)  4 Pb 3.30, 4 Hg 3.57

***

# 6
Material: CdTeIr
Method: DFT, PBE
State: relaxed

Output
Crystal system: monoclinic
Excess energy over the best structure of this formula in the dataset (meV per atom): 33
Density of states at the Fermi level (states/eV/cell): 3.28
Space-group type: Cm, No. 8
Electronic total energy (eV/atom): -4.21

Unit cell a=6.5435 b=3.7495 c=6.5842 alpha=90.00 beta=69.81 gamma=90.00
Closest atoms and distances in Å follow each position.
Sites, in units of the cell vectors:
Ir (0.8967, 0.5000, 0.5824)  3 Te 2.56, 3 Cd 2.84
Ir (0.8967, 0.0000, 0.0824)  3 Te 2.56, 3 Cd 2.84
Cd (0.6003, 0.0000, 0.5157)  3 Ir 2.84, 1 Te 2.98
Cd (0.6003, 0.5000, 0.0157)  3 Ir 2.84, 1 Te 2.98
Te (0.1152, 0.5000, 0.1760)  3 Ir 2.56
Te (0.1152, 0.0000, 0.6760)  3 Ir 2.56